[1]
Pm2Pr4H | Alexandria via LeMat-Bulk | GGA-PBE | optimized geometry; space-group type = I4/mmm (139); total DFT energy (no corrections) = -4.502 eV/atom; total magnetic moment = 0.0 μB per cell
1.0
-0.947 3.745 3.200
-3.515 1.769 -3.111
-3.919 -7.799 4.038
Pr H Pm
4 1 2
Direct
0.847 0.847 0.693
0.153 0.153 0.307
0.000 0.500 0.000
0.500 0.000 0.000
0.000 0.000 0.000
0.646 0.646 0.292
0.354 0.354 0.708

[2]
PmPr4H10 | Alexandria via LeMat-Bulk | GGA-PBE | optimized geometry; space-group type = R-3m (166); total DFT energy (no corrections) = -4.464 eV/atom; total magnetic moment = 0.0 μB per cell
1.0
-2.400 2.500 -1.781
0.074 0.344 -3.881
-11.781 -10.487 -3.111
Pm Pr H
1 4 10
Direct
0.000 0.000 0.000
0.399 0.399 0.802
0.800 0.800 0.601
0.200 0.200 0.399
0.601 0.601 0.198
0.951 0.951 0.147
0.150 0.150 0.550
0.550 0.550 0.349
0.349 0.349 0.953
0.750 0.750 0.751
0.651 0.651 0.047
0.850 0.850 0.450
0.250 0.250 0.249
0.049 0.049 0.853
0.450 0.450 0.651

[3]
Pm2PrH8 | Alexandria via LeMat-Bulk | GGA-PBE | optimized geometry; space-group type = Immm (71); total DFT energy (no corrections) = -4.326 eV/atom; total magnetic moment = 0.0 μB per cell
1.0
3.652 0.000 -1.112
-0.801 4.637 -2.633
0.008 0.605 6.583
Pm Pr H
2 1 8
Direct
0.170 0.670 0.340
0.830 0.330 0.660
0.500 0.000 0.000
0.662 0.898 0.325
0.338 0.574 0.675
0.159 0.159 0.317
0.000 0.277 0.000
0.841 0.841 0.683
0.662 0.426 0.325
0.338 0.102 0.675
0.000 0.723 0.000

[4]
PmPrH8Pt2 | Alexandria via LeMat-Bulk | GGA-PBE | optimized geometry; space-group type = R-3m (166); total DFT energy (no corrections) = -4.396 eV/atom; total magnetic moment = 0.0 μB per cell
1.0
-0.928 3.820 -2.549
-3.952 0.241 -2.506
-4.839 4.131 3.647
Pm Pr H Pt
1 1 8 2
Direct
0.000 0.000 0.000
0.500 0.500 0.500
0.165 0.165 0.505
0.472 0.472 0.171
0.835 0.835 0.495
0.886 0.472 0.171
0.114 0.528 0.829
0.472 0.886 0.171
0.528 0.114 0.829
0.528 0.528 0.829
0.248 0.248 0.257
0.752 0.752 0.743

[5]
PmPr2H6Ru | Alexandria via LeMat-Bulk | GGA-PBE | optimized geometry; space-group type = P-3m1 (164); total DFT energy (no corrections) = -4.748 eV/atom; total magnetic moment = 0.3 μB per cell
1.0
-3.491 0.726 5.103
1.211 -4.739 1.503
2.911 3.959 1.428
Pm Pr H Ru
1 2 6 1
Direct
0.500 0.000 0.000
0.191 0.333 0.667
0.809 0.667 0.333
0.832 0.159 0.317
0.832 0.159 0.841
0.832 0.683 0.841
0.168 0.841 0.159
0.168 0.317 0.159
0.168 0.841 0.683
0.000 0.000 0.000

[6]
Pm4Pr2Sb3H2 | Alexandria via LeMat-Bulk | GGA-PBE | optimized geometry; space-group type = I4/mmm (139); total DFT energy (no corrections) = -5.105 eV/atom; total magnetic moment = 0.0 μB per cell
1.0
4.774 0.000 0.000
0.000 4.774 0.000
-2.387 -2.387 12.789
Pm Pr Sb H
4 2 3 2
Direct
0.418 0.918 0.836
0.918 0.418 0.836
0.082 0.582 0.164
0.582 0.082 0.164
0.300 0.300 0.601
0.700 0.700 0.399
0.000 0.000 0.000
0.173 0.173 0.346
0.827 0.827 0.654
0.398 0.398 0.796
0.602 0.602 0.204

Repeat the fifth record exactly.
PmPr2H6Ru | Alexandria via LeMat-Bulk | GGA-PBE | optimized geometry; space-group type = P-3m1 (164); total DFT energy (no corrections) = -4.748 eV/atom; total magnetic moment = 0.3 μB per cell
1.0
-3.491 0.726 5.103
1.211 -4.739 1.503
2.911 3.959 1.428
Pm Pr H Ru
1 2 6 1
Direct
0.500 0.000 0.000
0.191 0.333 0.667
0.809 0.667 0.333
0.832 0.159 0.317
0.832 0.159 0.841
0.832 0.683 0.841
0.168 0.841 0.159
0.168 0.317 0.159
0.168 0.841 0.683
0.000 0.000 0.000